Here is a relaxed structure of Na2CuSn4 from Alexandria. Energies are from PBE.

a = 6.1624 Å, b = 13.1521 Å, c = 5.3940 Å
α = 90.00°, β = 90.00°, γ = 90.00°
Fractional coordinates of all 14 atoms:
Na1 0.0000 0.1408 0.0000
Na2 0.0000 0.8592 0.0000
Na3 0.5000 0.3592 0.0000
Na4 0.5000 0.6408 0.0000
Cu1 0.0000 0.5000 0.5000
Cu2 0.5000 0.0000 0.5000
Sn1 0.0000 0.2922 0.5000
Sn2 0.0000 0.3936 0.0000
Sn3 0.0000 0.6064 0.0000
Sn4 0.0000 0.7078 0.5000
Sn5 0.5000 0.1064 0.0000
Sn6 0.5000 0.2078 0.5000
Sn7 0.5000 0.7922 0.5000
Sn8 0.5000 0.8936 0.0000

Calculated values
* SG: No. 65
* uncorrected energy: -3.146 eV/atom

Here is a relaxed structure of NdDyTh2Se4 from Alexandria. Energies are from PBE.

a = 7.1066 Å, b = 4.1640 Å, c = 7.3825 Å
α = 90.00°, β = 109.18°, γ = 90.00°
Fractional coordinates of all 8 atoms:
Nd1 0.0000 0.0000 0.0000
Dy1 0.5000 0.5000 0.0000
Th1 0.0000 0.5000 0.5000
Th2 0.5000 0.0000 0.5000
Se1 0.2543 0.5000 0.2435
Se2 0.2596 0.0000 0.7608
Se3 0.7404 0.0000 0.2392
Se4 0.7457 0.5000 0.7565

Calculated values
* SG: No. 10
* E_form (uncorrected): -159.3 kJ/mol of atoms

Here is a relaxed structure of LiZn8Ag2 from Alexandria. Energies are from PBE.

a = 6.9421 Å, b = 6.9421 Å, c = 4.8971 Å
α = 101.31°, β = 101.31°, γ = 122.47°
Fractional coordinates of all 11 atoms:
Li1 0.0000 0.0000 0.0000
Zn1 0.0945 0.3117 0.7027
Zn2 0.2217 0.7783 0.0000
Zn3 0.3117 0.0945 0.7027
Zn4 0.4285 0.4285 0.2163
Zn5 0.5715 0.5715 0.7837
Zn6 0.6883 0.9055 0.2973
Zn7 0.7783 0.2217 0.0000
Zn8 0.9055 0.6883 0.2973
Ag1 0.3045 0.6955 0.5000
Ag2 0.6955 0.3045 0.5000

Calculated values
* SG: No. 12
* energy above the lowest structure with this stoichiometry: 75.8 meV per atom

Here is a relaxed structure of Hf5TiTl2 from Alexandria. Energies are from PBE.

a = 5.0129 Å, b = 5.0129 Å, c = 13.9269 Å
α = 90.00°, β = 90.00°, γ = 90.00°
Fractional coordinates of all 16 atoms:
Hf1 0.0000 0.0000 0.0000
Hf2 0.0000 0.5000 0.1193
Hf3 0.0000 0.5000 0.3807
Hf4 0.0000 0.5000 0.6193
Hf5 0.0000 0.5000 0.8807
Hf6 0.5000 0.0000 0.1193
Hf7 0.5000 0.0000 0.3807
Hf8 0.5000 0.0000 0.6193
Hf9 0.5000 0.0000 0.8807
Hf10 0.5000 0.5000 0.5000
Ti1 0.0000 0.0000 0.5000
Ti2 0.5000 0.5000 0.0000
Tl1 0.0000 0.0000 0.2506
Tl2 0.0000 0.0000 0.7494
Tl3 0.5000 0.5000 0.2494
Tl4 0.5000 0.5000 0.7506

Calculated values
* SG: No. 139
* uncorrected energy: -7.725 eV/atom

Here is a relaxed structure of K4Np3GeTe8 from Alexandria. Energies are from PBE.

a = 9.1323 Å, b = 9.1323 Å, c = 9.7036 Å
α = 118.11°, β = 118.11°, γ = 59.89°
Fractional coordinates of all 16 atoms:
K1 0.0000 0.0000 0.0000
K2 0.0000 0.5000 0.0000
K3 0.5000 0.0000 0.0000
K4 0.5000 0.5000 0.0000
Np1 0.0000 0.0000 0.5000
Np2 0.0000 0.5000 0.5000
Np3 0.5000 0.0000 0.5000
Ge1 0.5000 0.5000 0.5000
Te1 0.2373 0.2373 0.7106
Te2 0.2376 0.7331 0.7037
Te3 0.2673 0.2673 0.2977
Te4 0.2669 0.7624 0.2963
Te5 0.7331 0.2376 0.7037
Te6 0.7327 0.7327 0.7023
Te7 0.7624 0.2669 0.2963
Te8 0.7627 0.7627 0.2894

Calculated values
* SG: No. 12
* E_form (uncorrected): -76.4 kJ/mol of atoms

Here is a relaxed structure of Pr3Nd2Sm4 from Alexandria. Energies are from PBE.

a = 3.6665 Å, b = 3.6665 Å, c = 27.3628 Å
α = 90.00°, β = 90.00°, γ = 120.00°
Fractional coordinates of all 9 atoms:
Pr1 0.0000 0.0000 0.0000
Pr2 0.0000 0.0000 0.3388
Pr3 0.6667 0.3333 0.6681
Nd1 0.6667 0.3333 0.1074
Nd2 0.6667 0.3333 0.8855
Sm1 0.0000 0.0000 0.5574
Sm2 0.0000 0.0000 0.7784
Sm3 0.6667 0.3333 0.2330
Sm4 0.6667 0.3333 0.4518

Calculated values
* SG: No. 156
* energy above the lowest structure with this stoichiometry: 0.0 meV per atom

Here is a relaxed structure of Pm4In2Ni from Alexandria. Energies are from PBE.

a = 5.1711 Å, b = 5.1711 Å, c = 16.2586 Å
α = 90.00°, β = 90.00°, γ = 90.00°
Fractional coordinates of all 14 atoms:
Pm1 0.0000 0.0000 0.1788
Pm2 0.0000 0.0000 0.8212
Pm3 0.0000 0.5000 0.0000
Pm4 0.0000 0.5000 0.5000
Pm5 0.5000 0.0000 0.0000
Pm6 0.5000 0.0000 0.5000
Pm7 0.5000 0.5000 0.3212
Pm8 0.5000 0.5000 0.6788
In1 0.0000 0.0000 0.3705
In2 0.0000 0.0000 0.6295
In3 0.5000 0.5000 0.1295
In4 0.5000 0.5000 0.8705
Ni1 0.0000 0.0000 0.0000
Ni2 0.5000 0.5000 0.5000

Calculated values
* SG: No. 139
* energy above the lowest structure with this stoichiometry: 35.1 meV per atom

Here is a relaxed structure of CuNi2As from Alexandria. Energies are from PBE.

a = 3.7207 Å, b = 3.7207 Å, c = 3.4814 Å
α = 90.00°, β = 90.00°, γ = 90.00°
Fractional coordinates of all 4 atoms:
Cu1 0.0000 0.0000 0.0000
Ni1 0.0000 0.5000 0.5000
Ni2 0.5000 0.0000 0.5000
As1 0.5000 0.5000 0.0000

Calculated values
* SG: No. 123
* uncorrected energy: -5.153 eV/atom

Here is a relaxed structure of SrCaAlAs2 from Alexandria. Energies are from PBE.

a = 7.1916 Å, b = 5.3480 Å, c = 7.8317 Å
α = 90.00°, β = 104.40°, γ = 90.00°
Fractional coordinates of all 10 atoms:
Sr1 0.0000 0.2027 0.2500
Sr2 0.0000 0.7973 0.7500
Ca1 0.5000 0.4844 0.7500
Ca2 0.5000 0.5156 0.2500
Al1 0.5000 0.0000 0.0000
Al2 0.5000 0.0000 0.5000
As1 0.2284 0.2714 0.9458
As2 0.2284 0.7286 0.4458
As3 0.7716 0.2714 0.5542
As4 0.7716 0.7286 0.0542

Calculated values
* SG: No. 13
* uncorrected energy: -4.014 eV/atom

Here is a relaxed structure of SmPO from Alexandria. Energies are from PBE.

a = 3.9097 Å, b = 4.4167 Å, c = 13.0266 Å
α = 90.00°, β = 90.00°, γ = 90.00°
Fractional coordinates of all 12 atoms:
Sm1 0.0000 0.0000 0.1676
Sm2 0.0000 0.0000 0.8324
Sm3 0.5000 0.5000 0.3324
Sm4 0.5000 0.5000 0.6676
P1 0.0000 0.2447 0.5000
P2 0.0000 0.7553 0.5000
P3 0.5000 0.2553 0.0000
P4 0.5000 0.7447 0.0000
O1 0.0000 0.5000 0.2377
O2 0.0000 0.5000 0.7623
O3 0.5000 0.0000 0.2623
O4 0.5000 0.0000 0.7377

Calculated values
* SG: No. 71
* E_form (uncorrected): -207.8 kJ/mol of atoms

Here is a relaxed structure of TePW2 from Alexandria. Energies are from PBE.

a = 3.2574 Å, b = 3.2574 Å, c = 22.5717 Å
α = 90.00°, β = 90.00°, γ = 120.00°
Fractional coordinates of all 12 atoms:
Te1 0.0000 0.0000 0.0000
Te2 0.3333 0.6667 0.6667
Te3 0.6667 0.3333 0.3333
P1 0.0000 0.0000 0.5000
P2 0.3333 0.6667 0.1667
P3 0.6667 0.3333 0.8333
W1 0.0000 0.0000 0.2359
W2 0.0000 0.0000 0.7641
W3 0.3333 0.6667 0.4308
W4 0.3333 0.6667 0.9026
W5 0.6667 0.3333 0.0974
W6 0.6667 0.3333 0.5692

Calculated values
* SG: No. 166
* E_form (uncorrected): 43.4 kJ/mol of atoms
* energy above the lowest structure with this stoichiometry: 264.6 meV per atom

Here is a relaxed structure of ScGa2Pd2 from Alexandria. Energies are from PBE.

a = 8.2260 Å, b = 4.5437 Å, c = 4.9044 Å
α = 90.00°, β = 110.93°, γ = 90.00°
Fractional coordinates of all 10 atoms:
Sc1 0.0000 0.0000 0.0000
Sc2 0.5000 0.5000 0.0000
Ga1 0.1267 0.5000 0.7437
Ga2 0.3733 0.0000 0.2563
Ga3 0.6267 0.0000 0.7437
Ga4 0.8733 0.5000 0.2563
Pd1 0.2130 0.5000 0.2960
Pd2 0.2870 0.0000 0.7040
Pd3 0.7130 0.0000 0.2960
Pd4 0.7870 0.5000 0.7040

Calculated values
* SG: No. 12
* uncorrected energy: -5.241 eV/atom

Here is a relaxed structure of Ce2ErBe2Pt7 from Alexandria. Energies are from PBE.

a = 4.0281 Å, b = 4.0281 Å, c = 13.2955 Å
α = 96.21°, β = 96.21°, γ = 89.49°
Fractional coordinates of all 12 atoms:
Ce1 0.1128 0.1128 0.3475
Ce2 0.8872 0.8872 0.6525
Er1 0.0000 0.0000 0.0000
Be1 0.4109 0.4109 0.7491
Be2 0.5891 0.5891 0.2509
Pt1 0.0582 0.5578 0.1649
Pt2 0.3603 0.3603 0.5753
Pt3 0.4422 0.9418 0.8351
Pt4 0.5000 0.5000 0.0000
Pt5 0.5578 0.0582 0.1649
Pt6 0.6397 0.6397 0.4247
Pt7 0.9418 0.4422 0.8351

Calculated values
* SG: No. 12
* uncorrected energy: -6.528 eV/atom

Here is a relaxed structure of OsPbSN2 from Alexandria. Energies are from PBE.

a = 3.9788 Å, b = 3.9788 Å, c = 4.6979 Å
α = 90.00°, β = 90.00°, γ = 90.00°
Fractional coordinates of all 5 atoms:
Os1 0.0000 0.0000 0.0000
Pb1 0.5000 0.5000 0.0000
S1 0.0000 0.0000 0.5000
N1 0.0000 0.5000 0.5000
N2 0.5000 0.0000 0.5000

Calculated values
* SG: No. 123
* E_form (uncorrected): 182.0 kJ/mol of atoms
* energy above the lowest structure with this stoichiometry: 1391.6 meV per atom

Here is a relaxed structure of V3InRe from Alexandria. Energies are from PBE.

a = 4.6150 Å, b = 4.6150 Å, c = 4.6150 Å
α = 90.00°, β = 90.00°, γ = 90.00°
Fractional coordinates of all 5 atoms:
V1 0.0000 0.0000 0.5000
V2 0.0000 0.5000 0.0000
V3 0.5000 0.0000 0.0000
In1 0.5000 0.5000 0.5000
Re1 0.0000 0.0000 0.0000

Calculated values
* SG: No. 221
* energy above the lowest structure with this stoichiometry: 0.0 meV per atom

Here is a relaxed structure of CaV2InAs from Alexandria. Energies are from PBE.

a = 5.1303 Å, b = 5.1303 Å, c = 5.4081 Å
α = 90.00°, β = 90.00°, γ = 90.00°
Fractional coordinates of all 5 atoms:
Ca1 0.0000 0.0000 0.0000
V1 0.0000 0.5000 0.5000
V2 0.5000 0.0000 0.5000
In1 0.5000 0.5000 0.5000
As1 0.5000 0.5000 0.0000

Calculated values
* SG: No. 123
* uncorrected energy: -4.530 eV/atom

Here is a relaxed structure of Sn2SbP from Alexandria. Energies are from PBE.

a = 7.6819 Å, b = 3.7910 Å, c = 15.5371 Å
α = 90.00°, β = 90.00°, γ = 90.00°
Fractional coordinates of all 16 atoms:
Sn1 0.0874 0.2500 0.1994
Sn2 0.2150 0.7500 0.0057
Sn3 0.2850 0.2500 0.5057
Sn4 0.4126 0.7500 0.6994
Sn5 0.5874 0.2500 0.3006
Sn6 0.7150 0.7500 0.4943
Sn7 0.7850 0.2500 0.9943
Sn8 0.9126 0.7500 0.8006
Sb1 0.0517 0.7500 0.6187
Sb2 0.4483 0.2500 0.1187
Sb3 0.5517 0.7500 0.8813
Sb4 0.9483 0.2500 0.3813
P1 0.0735 0.2500 0.8880
P2 0.4265 0.7500 0.3880
P3 0.5735 0.2500 0.6120
P4 0.9265 0.7500 0.1120

Calculated values
* SG: No. 62
* E_form (uncorrected): 11.1 kJ/mol of atoms
* energy above the lowest structure with this stoichiometry: 43.1 meV per atom

Here is a relaxed structure of La4BeSi from Alexandria. Energies are from PBE.

a = 6.3112 Å, b = 6.3112 Å, c = 6.3112 Å
α = 60.00°, β = 60.00°, γ = 60.00°
Fractional coordinates of all 6 atoms:
La1 0.1234 0.1234 0.1234
La2 0.1234 0.1234 0.6298
La3 0.1234 0.6298 0.1234
La4 0.6298 0.1234 0.1234
Be1 0.5000 0.5000 0.5000
Si1 0.7500 0.7500 0.7500

Calculated values
* SG: No. 216
* E_form (uncorrected): 64.6 kJ/mol of atoms

Here is a relaxed structure of Cr4SeCl from Alexandria. Energies are from PBE.

a = 4.9168 Å, b = 4.9168 Å, c = 4.9168 Å
α = 60.00°, β = 60.00°, γ = 60.00°
Fractional coordinates of all 6 atoms:
Cr1 0.3774 0.3774 0.3774
Cr2 0.3774 0.3774 0.8677
Cr3 0.3774 0.8677 0.3774
Cr4 0.8677 0.3774 0.3774
Se1 0.0000 0.0000 0.0000
Cl1 0.7500 0.7500 0.7500

Calculated values
* SG: No. 216
* E_form (uncorrected): 86.3 kJ/mol of atoms

Here is a relaxed structure of Na2NdScF8 from Alexandria. Energies are from PBE.

a = 3.8243 Å, b = 7.5570 Å, c = 5.5607 Å
α = 90.00°, β = 90.08°, γ = 90.00°
Fractional coordinates of all 12 atoms:
Na1 0.0000 0.2307 0.0000
Na2 0.0000 0.7693 0.0000
Nd1 0.5000 0.5000 0.5000
Sc1 0.5000 0.0000 0.5000
F1 0.9998 0.5000 0.2545
F2 0.0002 0.5000 0.7455
F3 0.0017 0.0000 0.2862
F4 0.4987 0.2299 0.7270
F5 0.4987 0.7701 0.7270
F6 0.5013 0.2299 0.2730
F7 0.5013 0.7701 0.2730
F8 0.9983 0.0000 0.7138

Calculated values
* SG: No. 10
* E_form (uncorrected): -345.3 kJ/mol of atoms